# TcSb3, single point on PBEsol structure, DFT meta-GGA SCAN
# E above lowest polymorph	0.09	eV per formula unit
# raw formation energy	23	kJ/mol of formula units
# size of the total moment	0.00	Bohr magnetons per cell
data_TcSb3
_cell_length_a 5.204
_cell_length_b 11.056
_cell_length_c 3.270
_cell_angle_alpha 90.00
_cell_angle_beta 90.00
_cell_angle_gamma 90.00
_symmetry_space_group_name_H-M 'C m m m'
_symmetry_Int_Tables_number 65
_symmetry_space_group_name_Hall '-C 2 2'
loop_
_atom_site_label
_atom_site_type_symbol
_atom_site_fract_x
_atom_site_fract_y
_atom_site_fract_z
Tc1 Tc 0.000 0.000 0.000
Sb1 Sb 0.000 0.191 0.500
Sb2 Sb 0.000 0.500 0.000